The following is a GGA-PBE calculation of BaCa2YHg after structural relaxation, from Alexandria.

Lattice parameters (Å, degrees): 5.9818 5.9818 5.8951 90.00 90.00 90.00
Space group P4/mmm (No. 123)
Inequivalent atoms, fractional coordinates:
Ba 0.0000 0.0000 0.0000 (multiplicity 1)
Ca 0.0000 0.5000 0.5000 (multiplicity 2)
Y 0.5000 0.5000 0.0000 (multiplicity 1)
Hg 0.5000 0.5000 0.5000 (multiplicity 1)

Calculated values
spin magnetization: 0.000 μB/atom
energy: -13.0 eV per cell
Fermi-level density of states: 6.58 states/eV/cell
calculated formation energy: -0.06 eV per atom